Record 1
First-principles (meta-GGA SCAN) data for a crystal of ThCu5Sn relaxed with PBEsol, as listed in Alexandria.

Lattice parameters (Å, degrees): 5.0138 8.2455 10.4644 90.00 90.00 90.00
Fractional coordinates of all 28 atoms:
Th: 0.2500 0.2500 0.5565
Th: 0.7500 0.7500 0.4435
Th: 0.2500 0.7500 0.9435
Th: 0.7500 0.2500 0.0565
Cu: 0.5021 0.0736 0.3129
Cu: 0.0021 0.9264 0.6871
Cu: 0.9979 0.5736 0.1871
Cu: 0.4979 0.4264 0.8129
Cu: 0.4979 0.9264 0.6871
Cu: 0.9979 0.0736 0.3129
Cu: 0.0021 0.4264 0.8129
Cu: 0.5021 0.5736 0.1871
Cu: 0.2500 0.0675 0.1058
Cu: 0.7500 0.9325 0.8942
Cu: 0.2500 0.5675 0.3942
Cu: 0.7500 0.4325 0.6058
Cu: 0.2500 0.3214 0.2447
Cu: 0.7500 0.6786 0.7553
Cu: 0.2500 0.8214 0.2553
Cu: 0.7500 0.1786 0.7447
Cu: 0.2500 0.4204 0.0184
Cu: 0.7500 0.5796 0.9816
Cu: 0.2500 0.9204 0.4816
Cu: 0.7500 0.0796 0.5184
Sn: 0.2500 0.1341 0.8583
Sn: 0.7500 0.8659 0.1417
Sn: 0.2500 0.6341 0.6417
Sn: 0.7500 0.3659 0.3583

Output
Calculated total energy (eV per atom): -29.927
M_tot (Bohr magnetons per cell): 0.000
E_form (eV/atom): -0.2363

---

Record 2
First-principles (meta-GGA SCAN) data for a crystal of Ti2Cu2Sn relaxed with PBEsol, as listed in Alexandria.

Lattice parameters (Å, degrees): 3.9775 3.9775 5.9369 109.57 109.57 90.00
Fractional coordinates of all 5 atoms:
Sn: 0.0000 0.0000 0.0000
Cu: 0.3949 0.3949 0.7899
Cu: 0.6051 0.6051 0.2101
Ti: 0.2500 0.7500 0.5000
Ti: 0.7500 0.2500 0.5000

Output
Calculated total energy (eV per atom): -19.611
M_tot (Bohr magnetons per cell): 0.000
E_form (eV/atom): 0.0651

---

Record 3
First-principles (meta-GGA SCAN) data for a crystal of Ti10CuSn6 relaxed with PBEsol, as listed in Alexandria.

Lattice parameters (Å, degrees): 5.4501 8.0505 8.0505 120.00 90.00 90.00
Fractional coordinates of all 17 atoms:
Ti: 0.5000 0.3333 0.6667
Ti: 0.5000 0.6667 0.3333
Ti: 0.0000 0.6667 0.3333
Ti: 0.0000 0.3333 0.6667
Ti: 0.7616 0.2597 0.0000
Ti: 0.7616 0.7403 0.7403
Ti: 0.7616 0.0000 0.2597
Ti: 0.2384 0.7403 0.0000
Ti: 0.2384 0.2597 0.2597
Ti: 0.2384 0.0000 0.7403
Cu: 0.5000 0.0000 0.0000
Sn: 0.7438 0.6137 0.0000
Sn: 0.7438 0.3863 0.3863
Sn: 0.7438 0.0000 0.6137
Sn: 0.2562 0.3863 0.0000
Sn: 0.2562 0.6137 0.6137
Sn: 0.2562 0.0000 0.3863

Output
Calculated total energy (eV per atom): -23.426
M_tot (Bohr magnetons per cell): 0.000
E_form (eV/atom): -0.4246

---

Record 4
First-principles (meta-GGA SCAN) data for a crystal of TlCuSn3 relaxed with PBEsol, as listed in Alexandria.

Lattice parameters (Å, degrees): 5.5911 5.5911 5.5911 90.00 90.00 90.00
Fractional coordinates of all 5 atoms:
Tl: 0.0000 0.0000 0.0000
Sn: 0.0000 0.5000 0.0000
Sn: 0.0000 0.0000 0.5000
Sn: 0.5000 0.0000 0.0000
Cu: 0.5000 0.5000 0.5000

Output
Calculated total energy (eV per atom): -37.870
M_tot (Bohr magnetons per cell): 0.000
E_form (eV/atom): 1.1941